<1>
A plane-wave DFT calculation with PBE-GGA was carried out for crystalline ZrSb2TeCl at its relaxed geometry.

Unit cell a=5.1316 b=5.1316 c=5.4058 alpha=90.00 beta=90.00 gamma=90.00
Closest atoms and distances in Å follow each position.
Fractional positions:
Te: 0.0000 0.0000 0.5000  2 Cl 2.70
Sb: 0.5000 0.0000 0.0000  2 Cl 2.57
Sb: 0.0000 0.5000 0.0000  2 Cl 2.57
Zr: 0.5000 0.5000 0.5000  4 Te 3.63, 8 Sb 3.73
Cl: 0.0000 0.0000 0.0000  4 Sb 2.57, 2 Te 2.70

Calculated values
SG   P4/mmm
Fermi-level density of states   4.025 states/eV/cell
Total magnetization   0.0 Bohr magnetons per cell
ρ   5.81 g/cm³

---

<2>
A plane-wave DFT calculation with PBE-GGA was carried out for crystalline ZrSb2TeCl at its relaxed geometry.

Unit cell a=5.5779 b=5.5779 c=5.4628 alpha=90.00 beta=90.00 gamma=90.00
Closest atoms and distances in Å follow each position.
Fractional positions:
Sb: 0.0000 0.5000 0.0000  2 Zr 2.79
Sb: 0.5000 0.0000 0.0000  2 Zr 2.79
Te: 0.0000 0.0000 0.5000  2 Zr 2.73
Cl: 0.5000 0.5000 0.5000  8 Sb 3.90, 4 Te 3.94
Zr: 0.0000 0.0000 0.0000  2 Te 2.73, 4 Sb 2.79

Calculated values
SG   P4/mmm
Fermi-level density of states   4.262 states/eV/cell
Total magnetization   0.0 Bohr magnetons per cell
ρ   4.86 g/cm³

---

Most stable pick: <2>. Distance to second place: 0.651 eV/atom.

---

<1>
A plane-wave DFT calculation with PBE-GGA was carried out for crystalline ThSbCl at its relaxed geometry.

Unit cell a=4.6361 b=12.0328 c=7.5561 alpha=73.76 beta=90.00 gamma=90.00
Closest atoms and distances in Å follow each position.
Fractional positions:
Sb: 0.2501 0.1031 0.2909  4 Th 3.12-3.15
Sb: 0.7499 0.8969 0.7091  4 Th 3.12-3.15
Sb: 0.7501 0.3969 0.2091  4 Th 3.12-3.15
Sb: 0.2499 0.6031 0.7909  4 Th 3.12-3.15
Cl: 0.7499 0.8499 0.2231  3 Th 2.97-2.99, 2 Cl 3.28
Cl: 0.7501 0.3499 0.7231  3 Th 2.97-2.99, 2 Cl 3.28
Cl: 0.2501 0.1501 0.7769  3 Th 2.97-2.99, 2 Cl 3.28
Cl: 0.2499 0.6501 0.2769  3 Th 2.97-2.99, 2 Cl 3.28
Th: 0.2501 0.3337 0.9738  3 Cl 2.97-2.99, 4 Sb 3.12-3.15
Th: 0.2499 0.8337 0.4738  3 Cl 2.97-2.99, 4 Sb 3.12-3.15
Th: 0.7501 0.1663 0.5262  3 Cl 2.97-2.99, 4 Sb 3.12-3.15
Th: 0.7499 0.6663 0.0262  3 Cl 2.97-2.99, 4 Sb 3.12-3.15

Calculated values
SG   P2_1/m
Total magnetization   0.0 Bohr magnetons per cell
ρ   6.39 g/cm³

---

<2>
A plane-wave DFT calculation with PBE-GGA was carried out for crystalline ThSbCl at its relaxed geometry.

Unit cell a=4.1466 b=4.8036 c=4.8036 alpha=120.00 beta=90.00 gamma=90.00
Closest atoms and distances in Å follow each position.
Fractional positions:
Th: 0.1670 0.0000 0.0000  3 Cl 2.77
Sb: 0.6667 0.6667 0.3333  6 Cl 3.46, 6 Th 3.46
Cl: 0.1663 0.3333 0.6667  3 Th 2.77

Calculated values
SG   P-6m2
Fermi-level density of states   0.230 states/eV/cell
Total magnetization   0.0 Bohr magnetons per cell
ρ   7.80 g/cm³

---

Most stable pick: <1>. Distance to second place: 0.038 eV/atom.

---

<1>
A plane-wave DFT calculation with PBE-GGA was carried out for crystalline TiSb2Cl at its relaxed geometry.

Unit cell a=4.2857 b=4.2857 c=11.4342 alpha=79.20 beta=79.20 gamma=90.00
Closest atoms and distances in Å follow each position.
Fractional positions:
Cl: 0.2500 0.7500 0.5000  4 Ti 3.03, 4 Sb 3.19
Cl: 0.5000 0.5000 0.0000  4 Ti 3.03, 4 Sb 3.19
Sb: 0.6560 0.1250 0.2500  2 Sb 2.85, 2 Ti 3.10
Sb: 0.3750 0.3440 0.7500  2 Sb 2.85, 2 Ti 3.10
Sb: 0.8750 0.9060 0.7500  2 Sb 2.85, 2 Ti 3.10
Sb: 0.0940 0.6250 0.2500  2 Sb 2.85, 2 Ti 3.10
Ti: 0.0000 0.0000 0.0000  4 Cl 3.03, 4 Sb 3.10
Ti: 0.7500 0.2500 0.5000  4 Cl 3.03, 4 Sb 3.10

Calculated values
SG   I-42d
Fermi-level density of states   4.726 states/eV/cell
Total magnetization   2.1 Bohr magnetons per cell
ρ   5.36 g/cm³

---

<2>
A plane-wave DFT calculation with PBE-GGA was carried out for crystalline TiSb2Cl at its relaxed geometry.

Unit cell a=5.0451 b=5.0451 c=5.0451 alpha=60.00 beta=60.00 gamma=60.00
Closest atoms and distances in Å follow each position.
Fractional positions:
Sb: 0.2500 0.2500 0.2500  4 Ti 3.09, 4 Cl 3.09
Sb: 0.7500 0.7500 0.7500  4 Ti 3.09, 4 Cl 3.09
Cl: 0.0000 0.0000 0.0000  8 Sb 3.09
Ti: 0.5000 0.5000 0.5000  8 Sb 3.09

Calculated values
SG   Fm-3m
Fermi-level density of states   3.204 states/eV/cell
Total magnetization   0.9 Bohr magnetons per cell
ρ   5.98 g/cm³

---

Most stable pick: <1>. Distance to second place: 0.123 eV/atom.

---

<1>
A plane-wave DFT calculation with PBE-GGA was carried out for crystalline Ti2SbCl at its relaxed geometry.

Unit cell a=4.7020 b=4.7020 c=4.7020 alpha=60.00 beta=60.00 gamma=60.00
Closest atoms and distances in Å follow each position.
Fractional positions:
Cl: 0.0000 0.0000 0.0000  8 Ti 2.88
Ti: 0.2500 0.2500 0.2500  4 Cl 2.88, 4 Sb 2.88
Ti: 0.7500 0.7500 0.7500  4 Cl 2.88, 4 Sb 2.88
Sb: 0.5000 0.5000 0.5000  8 Ti 2.88

Calculated values
SG   Fm-3m
Fermi-level density of states   0.464 states/eV/cell
Total magnetization   0.0 Bohr magnetons per cell
ρ   5.71 g/cm³

---

<2>
A plane-wave DFT calculation with PBE-GGA was carried out for crystalline Ti2SbCl at its relaxed geometry.

Unit cell a=5.2148 b=5.2148 c=8.1862 alpha=71.43 beta=71.43 gamma=90.00
Closest atoms and distances in Å follow each position.
Fractional positions:
Ti: 0.3750 0.4353 0.7500  2 Cl 2.45
Ti: 0.5647 0.1250 0.2500  2 Cl 2.45
Ti: 0.8750 0.8147 0.7500  2 Cl 2.45
Ti: 0.1853 0.6250 0.2500  2 Cl 2.45
Sb: 0.7500 0.2500 0.5000  4 Ti 2.77
Sb: 0.0000 0.0000 0.0000  4 Ti 2.77
Cl: 0.2500 0.7500 0.5000  4 Ti 2.45
Cl: 0.5000 0.5000 0.0000  4 Ti 2.45

Calculated values
SG   I-42d
Fermi-level density of states   9.273 states/eV/cell
Total magnetization   7.8 Bohr magnetons per cell
ρ   4.23 g/cm³

---

Most stable pick: <1>. Distance to second place: 0.258 eV/atom.

---

<1>
A plane-wave DFT calculation with PBE-GGA was carried out for crystalline TlSbCl2 at its relaxed geometry.

Unit cell a=5.6315 b=5.6315 c=3.3616 alpha=90.00 beta=90.00 gamma=92.84
Closest atoms and distances in Å follow each position.
Fractional positions:
Cl: 0.0000 0.0000 0.0000  4 Sb 3.28, 4 Tl 3.28, 2 Cl 3.36
Cl: 0.5000 0.5000 0.0000  4 Tl 3.28, 4 Sb 3.28, 2 Cl 3.36
Tl: 0.0000 0.5000 0.5000  8 Cl 3.28, 2 Tl 3.36
Sb: 0.5000 0.0000 0.5000  8 Cl 3.28, 2 Sb 3.36

Calculated values
SG   Cmmm
Fermi-level density of states   2.061 states/eV/cell
Total magnetization   0.0 Bohr magnetons per cell
ρ   6.19 g/cm³

---

<2>
A plane-wave DFT calculation with PBE-GGA was carried out for crystalline TlSbCl2 at its relaxed geometry.

Unit cell a=5.2616 b=5.2616 c=5.2616 alpha=60.00 beta=60.00 gamma=60.00
Closest atoms and distances in Å follow each position.
Fractional positions:
Cl: 0.7500 0.7500 0.7500  4 Cl 3.22, 4 Sb 3.22
Cl: 0.0000 0.0000 0.0000  4 Cl 3.22, 4 Tl 3.22
Sb: 0.5000 0.5000 0.5000  4 Tl 3.22, 4 Cl 3.22
Tl: 0.2500 0.2500 0.2500  4 Cl 3.22, 4 Sb 3.22

Calculated values
SG   F-43m
Fermi-level density of states   4.415 states/eV/cell
Total magnetization   1.4 Bohr magnetons per cell
ρ   6.40 g/cm³

---

Most stable pick: <1>. Distance to second place: 0.235 eV/atom.